# 1
Entry from the Alexandria database: a relaxed structure of InIr2Os (PBE-GGA).

Geometry as POSCAR:
```
InIr2Os
1.0
2.822 0.000 0.000
0.000 3.860 0.000
0.000 0.000 5.859
In Ir Os
1 2 1
Cartesian
0.000 0.000 0.000 In
0.000 0.000 2.981 Ir
1.411 1.930 1.479 Ir
1.411 1.930 4.151 Os
```

Output
The space group is Pmm2, No. 25. The value obtained for the density of states at the Fermi level is 2.4 states/eV/f.u. The value obtained for the calculated formation energy is 244.3 meV/atom.

=====

# 2
Entry from the Alexandria database: a relaxed structure of InIrOs2 (PBE-GGA).

Geometry as POSCAR:
```
InIrOs2
1.0
1.413 0.816 9.097
-1.413 0.816 9.097
0.000 -1.632 9.097
In Ir Os
1 1 2
Cartesian
0.000 0.000 0.000 In
0.000 0.000 13.646 Ir
0.000 0.000 6.707 Os
0.000 0.000 20.584 Os
```

Output
The space group is R-3m, No. 166. The value obtained for the density of states at the Fermi level is 3.7 states/eV/f.u. The value obtained for the calculated formation energy is 427.7 meV/atom.

=====

# 3
Entry from the Alexandria database: a relaxed structure of InIr2Os (PBE-GGA).

Geometry as POSCAR:
```
InIr2Os
1.0
-1.395 2.341 5.002
1.395 -2.341 5.002
1.395 2.341 -5.002
In Ir Os
1 2 1
Cartesian
0.000 0.000 0.000 In
0.000 0.000 4.890 Ir
0.000 2.341 2.260 Ir
1.395 0.000 2.686 Os
```

Output
The space group is Imm2, No. 44. The value obtained for the density of states at the Fermi level is 4.5 states/eV/f.u. The value obtained for the calculated formation energy is 368.3 meV/atom.

=====

# 4
Entry from the Alexandria database: a relaxed structure of InIr2Os (PBE-GGA).

Geometry as POSCAR:
```
InIr2Os
1.0
2.836 0.000 0.000
0.000 2.836 0.000
0.000 0.000 7.864
In Ir Os
1 2 1
Cartesian
0.000 0.000 0.000 In
0.000 0.000 3.971 Ir
1.418 1.418 2.057 Ir
1.418 1.418 5.723 Os
```

Output
The space group is P4mm, No. 99. The value obtained for the density of states at the Fermi level is 4.2 states/eV/f.u. The value obtained for the calculated formation energy is 207.2 meV/atom.

=====

# 5
Entry from the Alexandria database: a relaxed structure of InIr2Os (PBE-GGA).

Geometry as POSCAR:
```
InIr2Os
1.0
-1.412 2.386 4.797
1.412 -2.386 4.797
1.412 2.386 -4.797
In Ir Os
1 2 1
Cartesian
0.000 0.000 0.000 In
1.412 0.000 2.545 Ir
0.000 2.386 2.252 Ir
0.000 0.000 4.797 Os
```

Output
The space group is Immm, No. 71. The value obtained for the density of states at the Fermi level is 4.5 states/eV/f.u. The value obtained for the calculated formation energy is 433.6 meV/atom.

=====

# 6
Entry from the Alexandria database: a relaxed structure of InIrOs2 (PBE-GGA).

Geometry as POSCAR:
```
InIrOs2
1.0
4.797 0.000 0.000
0.000 2.821 0.000
-1.505 0.000 4.626
In Ir Os
1 1 2
Cartesian
0.000 0.000 0.000 In
2.399 1.410 0.000 Ir
-0.753 1.410 2.313 Os
1.646 0.000 2.313 Os
```

Output
The space group is P2/m, No. 10. The value obtained for the density of states at the Fermi level is 4.2 states/eV/f.u. The value obtained for the calculated formation energy is 414.2 meV/atom.

=====

# 7
Entry from the Alexandria database: a relaxed structure of InIrOs3 (PBE-GGA).

Geometry as POSCAR:
```
InIrOs3
1.0
4.740 0.000 0.000
0.000 4.740 0.000
0.000 0.000 4.740
In Ir Os
1 1 3
Cartesian
0.000 0.000 0.000 In
2.370 2.370 2.370 Ir
0.000 2.370 2.370 Os
2.370 0.000 2.370 Os
2.370 2.370 0.000 Os
```

Output
The energy above the most stable polymorph in this dataset comes out at 0.0 meV/atom. The space group is Pm-3m, No. 221. The value obtained for the density of states at the Fermi level is 8.2 states/eV/f.u. The value obtained for the calculated formation energy is 2125.6 meV/atom.

=====

# 8
Entry from the Alexandria database: a relaxed structure of In3IrOs (PBE-GGA).

Geometry as POSCAR:
```
In3IrOs
1.0
5.097 0.000 0.000
0.000 5.097 0.000
0.000 0.000 5.097
In Ir Os
3 1 1
Cartesian
0.000 0.000 2.549 In
0.000 2.549 0.000 In
2.549 0.000 0.000 In
0.000 0.000 0.000 Ir
2.549 2.549 2.549 Os
```

Output
The energy above the most stable polymorph in this dataset comes out at 0.0 meV/atom. The space group is Pm-3m, No. 221. The value obtained for the density of states at the Fermi level is 3.1 states/eV/f.u. The value obtained for the calculated formation energy is 1053.0 meV/atom.

=====

# 9
Entry from the Alexandria database: a relaxed structure of InIr2Os (PBE-GGA).

Geometry as POSCAR:
```
InIr2Os
1.0
1.424 0.822 9.000
-1.424 0.822 9.000
0.000 -1.644 9.000
In Ir Os
1 2 1
Cartesian
0.000 0.000 0.000 In
0.000 0.000 13.514 Ir
0.000 0.000 20.307 Ir
0.000 0.000 6.613 Os
```

Output
The space group is R3m, No. 160. The value obtained for the density of states at the Fermi level is 4.0 states/eV/f.u. The value obtained for the calculated formation energy is 302.0 meV/atom.

=====

# 10
Entry from the Alexandria database: a relaxed structure of InIr2Os (PBE-GGA).

Geometry as POSCAR:
```
InIr2Os
1.0
-2.001 2.001 3.917
2.001 -2.001 3.917
2.001 2.001 -3.917
In Ir Os
1 2 1
Cartesian
0.000 0.000 0.000 In
2.001 0.000 1.958 Ir
0.000 2.001 1.958 Ir
0.000 0.000 3.917 Os
```

Output
The space group is I4/mmm, No. 139. The value obtained for the density of states at the Fermi level is 4.0 states/eV/f.u. The value obtained for the calculated formation energy is 232.2 meV/atom.

=====

# 11
Entry from the Alexandria database: a relaxed structure of InIr2Os (PBE-GGA).

Geometry as POSCAR:
```
InIr2Os
1.0
-1.995 1.995 3.939
1.995 -1.995 3.939
1.995 1.995 -3.939
In Ir Os
1 2 1
Cartesian
0.000 0.000 0.000 In
1.995 0.000 1.970 Ir
0.000 0.000 3.939 Ir
0.000 1.995 1.970 Os
```

Output
The space group is I-4m2, No. 119. The value obtained for the density of states at the Fermi level is 2.1 states/eV/f.u. The value obtained for the calculated formation energy is 256.7 meV/atom.

=====

# 12
Entry from the Alexandria database: a relaxed structure of InIrOs2 (PBE-GGA).

Geometry as POSCAR:
```
InIrOs2
1.0
-1.969 1.969 4.035
1.969 -1.969 4.035
1.969 1.969 -4.035
In Ir Os
1 1 2
Cartesian
0.000 0.000 0.000 In
0.000 0.000 4.035 Ir
1.969 0.000 2.018 Os
0.000 1.969 2.018 Os
```

Output
The space group is I4/mmm, No. 139. The value obtained for the density of states at the Fermi level is 4.0 states/eV/f.u. The value obtained for the calculated formation energy is 441.3 meV/atom.

=====

# 13
Entry from the Alexandria database: a relaxed structure of InIr2Os (PBE-GGA).

Geometry as POSCAR:
```
InIr2Os
1.0
-2.857 2.857 5.971
2.857 -2.857 5.971
2.857 2.857 -5.971
In Ir Os
2 4 2
Cartesian
0.000 0.000 0.000 In
0.000 2.857 2.985 In
1.428 -1.182 4.478 Ir
1.675 1.428 1.493 Ir
1.428 4.039 -1.493 Ir
1.182 1.428 7.463 Ir
2.857 0.000 2.985 Os
0.000 0.000 5.971 Os
```

Output
The space group is I-42d, No. 122. The value obtained for the density of states at the Fermi level is 3.3 states/eV/f.u. The value obtained for the calculated formation energy is 953.2 meV/atom.

=====

# 14
Entry from the Alexandria database: a relaxed structure of InIrOs2 (PBE-GGA).

Geometry as POSCAR:
```
InIrOs2
1.0
2.867 0.000 0.000
0.000 4.678 0.000
0.000 0.000 4.755
In Ir Os
1 1 2
Cartesian
0.000 0.000 0.000 In
1.434 2.339 0.000 Ir
0.000 2.339 2.377 Os
1.434 0.000 2.377 Os
```

Output
The space group is Pmmm, No. 47. The value obtained for the density of states at the Fermi level is 4.7 states/eV/f.u. The value obtained for the calculated formation energy is 577.3 meV/atom.

=====

# 15
Entry from the Alexandria database: a relaxed structure of InIrOs2 (PBE-GGA).

Geometry as POSCAR:
```
InIrOs2
1.0
-1.995 1.995 3.931
1.995 -1.995 3.931
1.995 1.995 -3.931
In Ir Os
1 1 2
Cartesian
0.000 0.000 0.000 In
1.995 0.000 1.965 Ir
0.000 0.000 3.931 Os
0.000 1.995 1.965 Os
```

Output
The space group is I-4m2, No. 119. The value obtained for the density of states at the Fermi level is 5.0 states/eV/f.u. The value obtained for the calculated formation energy is 416.9 meV/atom.

=====

# 16
Entry from the Alexandria database: a relaxed structure of InIrOs2 (PBE-GGA).

Geometry as POSCAR:
```
InIrOs2
1.0
1.392 -2.438 0.000
1.392 2.438 0.000
0.000 0.000 9.509
In Ir Os
1 1 2
Cartesian
0.000 0.000 0.000 In
0.000 0.000 4.755 Ir
1.392 0.000 2.468 Os
1.392 0.000 7.041 Os
```

Output
The space group is Cmmm, No. 65. The value obtained for the density of states at the Fermi level is 5.2 states/eV/f.u. The value obtained for the calculated formation energy is 732.9 meV/atom.

=====

# 17
Entry from the Alexandria database: a relaxed structure of InIr2Os (PBE-GGA).

Geometry as POSCAR:
```
InIr2Os
1.0
4.608 -1.420 0.000
4.608 1.420 0.000
-0.787 0.000 4.821
In Ir Os
1 2 1
Cartesian
0.000 0.000 0.000 In
1.673 0.000 3.530 Ir
6.756 0.000 1.291 Ir
4.215 0.000 2.411 Os
```

Output
The space group is C2/m, No. 12. The value obtained for the density of states at the Fermi level is 4.3 states/eV/f.u. The value obtained for the calculated formation energy is 238.9 meV/atom.

=====

# 18
Entry from the Alexandria database: a relaxed structure of InIrOs2 (PBE-GGA).

Geometry as POSCAR:
```
InIrOs2
1.0
3.900 0.000 0.000
0.000 3.900 0.000
0.000 0.000 4.154
In Ir Os
1 1 2
Cartesian
0.000 0.000 0.000 In
1.950 1.950 0.000 Ir
0.000 1.950 2.077 Os
1.950 0.000 2.077 Os
```

Output
The space group is P4/mmm, No. 123. The value obtained for the density of states at the Fermi level is 5.9 states/eV/f.u. The value obtained for the calculated formation energy is 558.4 meV/atom.

=====

# 19
Entry from the Alexandria database: a relaxed structure of InIrOs2 (PBE-GGA).

Geometry as POSCAR:
```
InIrOs2
1.0
2.832 0.000 0.000
0.000 3.823 0.000
0.000 0.000 5.857
In Ir Os
1 1 2
Cartesian
0.000 0.000 0.000 In
1.416 1.912 1.496 Ir
0.000 0.000 2.980 Os
1.416 1.912 4.169 Os
```

Output
The space group is Pmm2, No. 25. The value obtained for the density of states at the Fermi level is 3.6 states/eV/f.u. The value obtained for the calculated formation energy is 302.0 meV/atom.

=====

# 20
Entry from the Alexandria database: a relaxed structure of InIrOs2 (PBE-GGA).

Geometry as POSCAR:
```
InIrOs2
1.0
2.839 0.000 0.000
0.000 2.839 0.000
0.000 0.000 7.833
In Ir Os
1 1 2
Cartesian
0.000 0.000 0.000 In
1.419 1.419 2.094 Ir
0.000 0.000 3.968 Os
1.419 1.419 5.680 Os
```

Output
The space group is P4mm, No. 99. The value obtained for the density of states at the Fermi level is 2.1 states/eV/f.u. The value obtained for the calculated formation energy is 186.2 meV/atom.

=====

# 21
Entry from the Alexandria database: a relaxed structure of InIrOs2 (PBE-GGA).

Geometry as POSCAR:
```
InIrOs2
1.0
2.775 0.000 0.000
0.000 3.883 0.000
0.000 0.000 5.946
In Ir Os
1 1 2
Cartesian
0.000 0.000 0.000 In
0.000 0.000 2.973 Ir
1.387 1.942 1.666 Os
1.387 1.942 4.280 Os
```

Output
The space group is Pmmm, No. 47. The value obtained for the density of states at the Fermi level is 3.5 states/eV/f.u. The value obtained for the calculated formation energy is 440.5 meV/atom.

=====

# 22
Entry from the Alexandria database: a relaxed structure of InIr2Os (PBE-GGA).

Geometry as POSCAR:
```
InIr2Os
1.0
4.614 -1.419 0.000
4.614 1.419 0.000
-0.843 0.000 4.843
In Ir Os
1 2 1
Cartesian
0.000 0.000 0.000 In
1.617 0.000 3.667 Ir
4.181 0.000 2.385 Ir
6.742 0.000 1.474 Os
```

Output
The space group is Cm, No. 8. The value obtained for the density of states at the Fermi level is 2.8 states/eV/f.u. The value obtained for the calculated formation energy is 181.6 meV/atom.

=====

# 23
Entry from the Alexandria database: a relaxed structure of InIrOs2 (PBE-GGA).

Geometry as POSCAR:
```
InIrOs2
1.0
4.656 0.000 0.000
0.000 4.656 0.000
0.000 0.000 2.921
In Ir Os
1 1 2
Cartesian
0.000 0.000 0.000 In
2.328 2.328 0.000 Ir
0.000 2.328 1.460 Os
2.328 0.000 1.460 Os
```

Output
The space group is P4/mmm, No. 123. The value obtained for the density of states at the Fermi level is 4.9 states/eV/f.u. The value obtained for the calculated formation energy is 660.1 meV/atom.

=====

# 24
Entry from the Alexandria database: a relaxed structure of InIrOs2 (PBE-GGA).

Geometry as POSCAR:
```
InIrOs2
1.0
2.825 0.000 0.000
0.000 2.825 0.000
0.000 0.000 7.901
In Ir Os
1 1 2
Cartesian
0.000 0.000 0.000 In
0.000 0.000 3.951 Ir
1.412 1.412 2.120 Os
1.412 1.412 5.781 Os
```

Output
The space group is P4/mmm, No. 123. The value obtained for the density of states at the Fermi level is 4.7 states/eV/f.u. The value obtained for the calculated formation energy is 403.3 meV/atom.

=====

# 25
Entry from the Alexandria database: a relaxed structure of In4IrOs (PBE-GGA).

Geometry as POSCAR:
```
In4IrOs
1.0
0.000 3.917 3.917
3.917 0.000 3.917
3.917 3.917 0.000
In Ir Os
4 1 1
Cartesian
0.979 0.979 0.979 In
2.938 2.938 0.979 In
2.938 0.979 2.938 In
0.979 2.938 2.938 In
5.875 5.875 5.875 Ir
3.917 3.917 3.917 Os
```

Output
The space group is F-43m, No. 216. The value obtained for the density of states at the Fermi level is 6.6 states/eV/f.u. The value obtained for the calculated formation energy is 1177.8 meV/atom.

=====

# 26
Entry from the Alexandria database: a relaxed structure of InIr2Os (PBE-GGA).

Geometry as POSCAR:
```
InIr2Os
1.0
2.860 0.000 0.000
0.000 4.677 0.000
0.000 0.000 4.772
In Ir Os
1 2 1
Cartesian
0.000 0.000 0.000 In
0.000 2.339 2.386 Ir
1.430 2.339 0.000 Ir
1.430 0.000 2.386 Os
```

Output
The space group is Pmmm, No. 47. The value obtained for the density of states at the Fermi level is 5.2 states/eV/f.u. The value obtained for the calculated formation energy is 458.2 meV/atom.

=====

# 27
Entry from the Alexandria database: a relaxed structure of In2IrOsPb (PBE-GGA).

Geometry as POSCAR:
```
In2IrOsPb
1.0
5.571 0.000 0.000
0.000 5.571 0.000
0.000 0.000 4.997
In Ir Os Pb
2 1 1 1
Cartesian
0.000 2.785 0.000 In
2.785 0.000 0.000 In
0.000 0.000 2.498 Ir
2.785 2.785 2.498 Os
0.000 0.000 0.000 Pb
```

Output
The space group is P4/mmm, No. 123. The value obtained for the density of states at the Fermi level is 5.6 states/eV/f.u. The value obtained for the calculated formation energy is 2162.5 meV/atom.

=====

# 28
Entry from the Alexandria database: a relaxed structure of Tm5In2Ir2Os (PBE-GGA).

Geometry as POSCAR:
```
Tm5In2Ir2Os
1.0
11.550 0.000 0.000
0.000 11.550 0.000
0.000 0.000 3.477
Tm In Ir Os
10 4 4 2
Cartesian
0.000 5.775 0.000 Tm
0.720 2.242 0.000 Tm
2.242 10.830 0.000 Tm
3.533 5.055 0.000 Tm
5.055 8.017 0.000 Tm
5.775 0.000 0.000 Tm
6.495 3.533 0.000 Tm
8.017 6.495 0.000 Tm
9.308 0.720 0.000 Tm
10.830 9.308 0.000 Tm
2.086 7.861 1.738 In
3.689 2.086 1.738 In
7.861 9.464 1.738 In
9.464 3.689 1.738 In
1.572 4.203 1.738 Ir
4.203 9.978 1.738 Ir
7.347 1.572 1.738 Ir
9.978 7.347 1.738 Ir
0.000 0.000 1.738 Os
5.775 5.775 1.738 Os
```

Output
The space group is P4/mbm, No. 127. The value obtained for the density of states at the Fermi level is 6.1 states/eV/f.u. The value obtained for the calculated formation energy is -532.2 meV/atom.

=====

# 29
Entry from the Alexandria database: a relaxed structure of ZnInIr2Os (PBE-GGA).

Geometry as POSCAR:
```
ZnInIr2Os
1.0
4.500 0.000 0.000
0.000 4.500 0.000
0.000 0.000 4.612
Zn In Ir Os
1 1 2 1
Cartesian
0.000 0.000 0.000 Zn
0.000 0.000 2.306 In
0.000 2.250 0.000 Ir
2.250 0.000 0.000 Ir
2.250 2.250 2.306 Os
```

Output
The space group is P4/mmm, No. 123. The value obtained for the density of states at the Fermi level is 3.7 states/eV/f.u. The value obtained for the calculated formation energy is 1668.4 meV/atom.